(1)
{"formula": "Na4TlHg4", "functional": "PBE", "state": "optimized geometry", "lattice": [[4.293, 0.000, 1.963], [2.146, 7.202, 0.981], [-0.849, 0.000, 7.531]], "species": ["Na", "Na", "Na", "Na", "Tl", "Hg", "Hg", "Hg", "Hg"], "fractional_positions": [[0.000, 0.685, 0.314], [0.000, 0.315, 0.686], [0.685, 0.314, 0.315], [0.315, 0.686, 0.685], [0.000, 0.000, 0.000], [0.332, 0.336, 0.000], [0.668, 0.664, 0.000], [0.668, 0.000, 0.664], [0.332, 0.000, 0.336]], "dos_ef_per_ev_cell": 2.8, "formation_enthalpy_0k_ev_per_atom": -0.17, "space_group": "I4/mmm (139)", "mass_density_g_cm3": 7.5, "magmom_total_mub_per_cell": 0.000}

---

(2)
{"formula": "LaHo5Sc", "functional": "PBE", "state": "optimized geometry", "lattice": [[-4.965, -7.859, -0.743], [0.205, -5.823, 1.791], [-8.772, -11.510, 5.072]], "species": ["La", "Ho", "Ho", "Ho", "Ho", "Ho", "Sc"], "fractional_positions": [[0.003, 0.924, 0.070], [0.563, 0.641, 0.220], [0.862, 0.505, 0.780], [0.430, 0.216, 0.928], [0.138, 0.363, 0.359], [0.289, 0.784, 0.642], [0.715, 0.068, 0.500]], "dos_ef_per_ev_cell": 9.8, "formation_enthalpy_0k_ev_per_atom": 0.04, "space_group": "P1 (1)", "mass_density_g_cm3": 7.8, "magmom_total_mub_per_cell": 0.000}

---

(3)
{"formula": "Ta27S50", "functional": "PBE", "state": "optimized geometry", "lattice": [[10.447, 0.006, -0.003], [-2.927, 10.060, -0.001], [-0.026, -2.806, 14.304]], "species": ["Ta", "Ta", "Ta", "Ta", "Ta", "Ta", "Ta", "Ta", "Ta", "Ta", "Ta", "Ta", "Ta", "Ta", "Ta", "Ta", "Ta", "Ta", "Ta", "Ta", "Ta", "Ta", "Ta", "Ta", "Ta", "Ta", "Ta", "S", "S", "S", "S", "S", "S", "S", "S", "S", "S", "S", "S", "S", "S", "S", "S", "S", "S", "S", "S", "S", "S", "S", "S", "S", "S", "S", "S", "S", "S", "S", "S", "S", "S", "S", "S", "S", "S", "S", "S", "S", "S", "S", "S", "S", "S", "S", "S", "S", "S"], "fractional_positions": [[0.999, 0.997, 0.996], [0.599, 0.399, 0.998], [0.082, 0.920, 0.200], [0.211, 0.810, 0.001], [0.561, 0.444, 0.399], [0.679, 0.318, 0.202], [0.795, 0.196, 0.000], [0.037, 0.959, 0.598], [0.155, 0.836, 0.400], [0.281, 0.721, 0.203], [0.410, 0.612, 0.001], [0.527, 0.482, 0.798], [0.653, 0.371, 0.602], [0.772, 0.251, 0.402], [0.878, 0.120, 0.203], [0.118, 0.880, 0.800], [0.238, 0.758, 0.600], [0.358, 0.636, 0.400], [0.479, 0.523, 0.201], [0.719, 0.282, 0.803], [0.850, 0.170, 0.602], [0.962, 0.041, 0.400], [0.974, 0.485, 0.566], [0.327, 0.690, 0.803], [0.443, 0.560, 0.598], [0.918, 0.076, 0.799], [0.532, 0.927, 0.965], [0.977, 0.781, 0.049], [0.217, 0.040, 0.085], [0.450, 0.301, 0.251], [0.562, 0.174, 0.049], [0.698, 0.554, 0.281], [0.813, 0.428, 0.083], [0.925, 0.820, 0.448], [0.048, 0.698, 0.248], [0.179, 0.589, 0.049], [0.178, 0.069, 0.483], [0.297, 0.954, 0.287], [0.426, 0.846, 0.096], [0.418, 0.343, 0.649], [0.542, 0.228, 0.453], [0.651, 0.103, 0.256], [0.763, 0.974, 0.049], [0.661, 0.602, 0.683], [0.782, 0.491, 0.480], [0.901, 0.357, 0.281], [0.888, 0.855, 0.848], [0.011, 0.228, 0.082], [0.004, 0.733, 0.649], [0.122, 0.612, 0.450], [0.248, 0.499, 0.248], [0.134, 0.114, 0.883], [0.372, 0.387, 0.048], [0.253, 0.990, 0.681], [0.372, 0.868, 0.483], [0.498, 0.754, 0.287], [0.487, 0.262, 0.847], [0.623, 0.633, 0.085], [0.618, 0.149, 0.648], [0.736, 0.032, 0.453], [0.850, 0.900, 0.250], [0.741, 0.514, 0.886], [0.867, 0.404, 0.697], [0.998, 0.277, 0.481], [0.098, 0.153, 0.282], [0.098, 0.664, 0.853], [0.209, 0.538, 0.652], [0.331, 0.417, 0.449], [0.339, 0.930, 0.879], [0.456, 0.794, 0.680], [0.575, 0.676, 0.482], [0.681, 0.053, 0.848], [0.809, 0.945, 0.648], [0.934, 0.307, 0.886], [0.062, 0.192, 0.686], [0.298, 0.471, 0.852], [0.554, 0.718, 0.880]], "final_energy_ev_per_atom": -7.91, "dos_ef_per_ev_cell": 43.4, "space_group": "P1 (1)", "mass_density_g_cm3": 7.2, "magmom_total_mub_per_cell": 0.000}

---

(4)
{"formula": "NpCuRhO6", "functional": "PBE", "state": "optimized geometry", "lattice": [[5.176, 0.000, 0.000], [-2.588, 4.482, 0.000], [0.000, 0.000, 9.016]], "species": ["Np", "Np", "Cu", "Cu", "Rh", "Rh", "O", "O", "O", "O", "O", "O", "O", "O", "O", "O", "O", "O"], "fractional_positions": [[0.667, 0.333, 0.250], [0.333, 0.667, 0.750], [0.333, 0.667, 0.250], [0.667, 0.333, 0.750], [0.000, 0.000, 0.000], [0.000, 0.000, 0.500], [0.677, 0.670, 0.125], [0.993, 0.323, 0.125], [0.323, 0.993, 0.625], [0.007, 0.677, 0.875], [0.330, 0.323, 0.375], [0.993, 0.670, 0.375], [0.670, 0.993, 0.875], [0.677, 0.007, 0.375], [0.007, 0.330, 0.625], [0.330, 0.007, 0.125], [0.670, 0.677, 0.625], [0.323, 0.330, 0.875]], "final_energy_ev_per_atom": -7.50, "dos_ef_per_ev_cell": 13.2, "space_group": "P-31c (163)", "mass_density_g_cm3": 7.9, "magmom_total_mub_per_cell": 2.072}

---

(5)
{"formula": "ZrSbPt", "functional": "PBE", "state": "optimized geometry", "lattice": [[-0.876, 4.213, 0.911], [-2.223, -2.070, -3.181], [-2.583, -1.079, 2.507]], "species": ["Pt", "Sb", "Zr"], "fractional_positions": [[0.000, 0.000, 0.055], [0.667, 0.333, 0.245], [0.333, 0.667, 0.700]], "final_energy_ev_per_atom": -6.94, "dos_ef_per_ev_cell": 1.8, "space_group": "P3m1 (156)", "mass_density_g_cm3": 10.8, "magmom_total_mub_per_cell": 0.000}

---

(6)
{"formula": "La2Sb2Au", "functional": "PBE", "state": "optimized geometry", "lattice": [[4.251, 0.000, 0.000], [0.000, 4.251, 0.000], [2.125, 2.125, 8.503]], "species": ["Sb", "Sb", "Au", "La", "La"], "fractional_positions": [[0.750, 0.250, 0.500], [0.250, 0.750, 0.500], [0.000, 0.000, 0.000], [0.401, 0.401, 0.199], [0.599, 0.599, 0.801]], "dos_ef_per_ev_cell": 4.7, "space_group": "I4/mmm (139)", "mass_density_g_cm3": 7.8, "magmom_total_mub_per_cell": 0.000, "de_polymorph_mev_per_atom": 359}

---

Question: Which formula does entry 2 have?
Answer: LaHo5Sc